A relaxed structure of Sc3ReS. Source: the Alexandria database, functional PBEsol.

## Properties
As for the formation energy without anion corrections: 258 meV/atom.

Structure (extended XYZ):
```
5
Lattice="-3.743 1.114 3.061 2.040 -2.834 3.525 2.540 3.918 1.680" Properties=species:S:1:pos:R:3 pbc="T T T"
Sc 1.020 -1.417 1.763
Sc 1.270 1.959 0.840
Sc -1.871 0.557 1.531
Re 0.000 0.000 0.000
S 0.418 1.099 4.133
```